A plane-wave DFT calculation with PBE was carried out for an optimized crystal structure of KFe2Hg.

Lattice parameters (Å, degrees): 5.8572 10.1544 2.7451 90.00 90.00 90.00
Sites, in units of the cell vectors:
1 K 0.0000 0.0000 0.0000
2 K 0.5000 0.5000 0.0000
3 Fe 0.2500 0.2500 0.5000
4 Fe 0.2500 0.7500 0.5000
5 Fe 0.7500 0.2500 0.5000
6 Fe 0.7500 0.7500 0.5000
7 Hg 0.0000 0.5000 0.0000
8 Hg 0.5000 0.0000 0.0000

Summary:
* calculated formation energy: 1.057 eV per atom
* DOS(E_F): 1.37 states/eV/atom
* symmetry: Cmmm